# Li7Co5O12

A geometry-optimized Li7Co5O12 structure (PBE+U, Alexandria via LeMat-Bulk).

Geometry as POSCAR:
```
Li7Co5O12
1.0
5.760 0.000 0.000
0.000 2.852 0.000
-2.685 0.000 12.082
Li Co O
7 5 12
Direct
0.000 0.000 0.000 Li
0.000 0.500 0.500 Li
0.169 0.000 0.334 Li
0.320 0.500 0.155 Li
0.500 0.000 0.000 Li
0.680 0.500 0.845 Li
0.831 0.000 0.666 Li
0.165 0.500 0.837 Co
0.334 0.000 0.667 Co
0.500 0.500 0.500 Co
0.666 0.000 0.333 Co
0.835 0.500 0.163 Co
0.055 0.000 0.169 O
0.112 0.500 0.675 O
0.246 0.500 0.985 O
0.275 0.000 0.507 O
0.389 0.000 0.826 O
0.443 0.500 0.340 O
0.557 0.500 0.660 O
0.611 0.000 0.174 O
0.725 0.000 0.493 O
0.754 0.500 0.015 O
0.888 0.500 0.325 O
0.945 0.000 0.831 O
```

Results
crystal system = monoclinic
size of the total moment = 2.01 μB per cell
DFT total energy = -132.9 eV per cell